Record 1
# SmTmNi2B2N2 (GGA-PBE, relaxed)
# energy: -58.84 eV/cell
# magnetization: 0.00 Bohr magnetons per cell
data_SmTmNi2B2N2
_space_group_name_H-M_alt 'P 4 m m'
_space_group_IT_number 99
_cell_length_a 3.5124
_cell_length_b 3.5124
_cell_length_c 7.5076
_cell_angle_alpha 90.00
_cell_angle_beta 90.00
_cell_angle_gamma 90.00
loop_
_space_group_symop_operation_xyz
'x,y,z'
'-y,x,z'
'-x,-y,z'
'y,-x,z'
'-x,y,z'
'y,x,z'
'x,-y,z'
'-y,-x,z'
loop_
_atom_site_label
_atom_site_type_symbol
_atom_site_fract_x
_atom_site_fract_y
_atom_site_fract_z
Sm1 Sm 0.0000 0.0000 0.0000
Tm1 Tm 0.5000 0.5000 0.3366
Ni1 Ni 0.0000 0.5000 0.6673
B1 B 0.0000 0.0000 0.5120
B2 B 0.5000 0.5000 0.8304
N1 N 0.0000 0.0000 0.3186
N2 N 0.5000 0.5000 0.0265



Record 2
# Sm2YNi2B2N3 (GGA-PBE, relaxed)
# energy: -153.74 eV/cell
# magnetization: 0.00 Bohr magnetons per cell
data_Sm2YNi2B2N3
_space_group_name_H-M_alt 'I 4/m m m'
_space_group_IT_number 139
_space_group_name_Hall '-I 4 2'
_cell_length_a 3.5407
_cell_length_b 3.5407
_cell_length_c 20.1333
_cell_angle_alpha 90.00
_cell_angle_beta 90.00
_cell_angle_gamma 90.00
loop_
_atom_site_label
_atom_site_type_symbol
_atom_site_fract_x
_atom_site_fract_y
_atom_site_fract_z
Sm1 Sm 0.0000 0.0000 0.1239
Y1 Y 0.0000 0.0000 0.5000
Ni1 Ni 0.0000 0.5000 0.2500
B1 B 0.0000 0.0000 0.3100
N1 N 0.0000 0.0000 0.0000
N2 N 0.0000 0.0000 0.3823



Record 3
# SmY2Ni2B2N3 (GGA-PBE, relaxed)
# energy: -157.56 eV/cell
# magnetization: 0.00 Bohr magnetons per cell
data_SmY2Ni2B2N3
_space_group_name_H-M_alt 'I 4/m m m'
_space_group_IT_number 139
_space_group_name_Hall '-I 4 2'
_cell_length_a 3.5104
_cell_length_b 3.5104
_cell_length_c 20.2606
_cell_angle_alpha 90.00
_cell_angle_beta 90.00
_cell_angle_gamma 90.00
loop_
_atom_site_label
_atom_site_type_symbol
_atom_site_fract_x
_atom_site_fract_y
_atom_site_fract_z
Sm1 Sm 0.0000 0.0000 0.0000
Y1 Y 0.0000 0.0000 0.3759
Ni1 Ni 0.0000 0.5000 0.2500
B1 B 0.0000 0.0000 0.1908
N1 N 0.0000 0.0000 0.1192
N2 N 0.0000 0.0000 0.5000



Record 4
# Tb2TmNi2B2N3 (GGA-PBE, relaxed)
# energy: -151.09 eV/cell
# magnetization: 0.01 Bohr magnetons per cell
data_Tb2TmNi2B2N3
_space_group_name_H-M_alt 'I 4/m m m'
_space_group_IT_number 139
_space_group_name_Hall '-I 4 2'
_cell_length_a 3.4679
_cell_length_b 3.4679
_cell_length_c 19.9380
_cell_angle_alpha 90.00
_cell_angle_beta 90.00
_cell_angle_gamma 90.00
loop_
_atom_site_label
_atom_site_type_symbol
_atom_site_fract_x
_atom_site_fract_y
_atom_site_fract_z
Tb1 Tb 0.0000 0.0000 0.1228
Tm1 Tm 0.0000 0.0000 0.5000
Ni1 Ni 0.0000 0.5000 0.2500
B1 B 0.0000 0.0000 0.3114
N1 N 0.0000 0.0000 0.0000
N2 N 0.0000 0.0000 0.3846



Record 5
# Tb2YNi2B2N3 (GGA-PBE, relaxed)
# energy: -154.60 eV/cell
# magnetization: 0.01 Bohr magnetons per cell
data_Tb2YNi2B2N3
_space_group_name_H-M_alt 'I 4/m m m'
_space_group_IT_number 139
_space_group_name_Hall '-I 4 2'
_cell_length_a 3.4838
_cell_length_b 3.4838
_cell_length_c 20.0964
_cell_angle_alpha 90.00
_cell_angle_beta 90.00
_cell_angle_gamma 90.00
loop_
_atom_site_label
_atom_site_type_symbol
_atom_site_fract_x
_atom_site_fract_y
_atom_site_fract_z
Tb1 Tb 0.0000 0.0000 0.1233
Y1 Y 0.0000 0.0000 0.5000
Ni1 Ni 0.0000 0.5000 0.2500
B1 B 0.0000 0.0000 0.3105
N1 N 0.0000 0.0000 0.0000
N2 N 0.0000 0.0000 0.3831



Record 6
# Tm2Ni2B3N (GGA-PBE, relaxed)
# energy: -54.28 eV/cell
# magnetization: 0.00 Bohr magnetons per cell
data_Tm2Ni2B3N
_space_group_name_H-M_alt 'P 4 m m'
_space_group_IT_number 99
_cell_length_a 3.5693
_cell_length_b 3.5693
_cell_length_c 7.4385
_cell_angle_alpha 90.00
_cell_angle_beta 90.00
_cell_angle_gamma 90.00
loop_
_space_group_symop_operation_xyz
'x,y,z'
'-y,x,z'
'-x,-y,z'
'y,-x,z'
'-x,y,z'
'y,x,z'
'x,-y,z'
'-y,-x,z'
loop_
_atom_site_label
_atom_site_type_symbol
_atom_site_fract_x
_atom_site_fract_y
_atom_site_fract_z
Tm1 Tm 0.0000 0.0000 0.0000
Tm2 Tm 0.5000 0.5000 0.3367
Ni1 Ni 0.0000 0.5000 0.6552
B1 B 0.0000 0.0000 0.5057
B2 B 0.5000 0.5000 0.0041
B3 B 0.5000 0.5000 0.7881
N1 N 0.0000 0.0000 0.3113



Record 7
# YTmNi2B2N2 (GGA-PBE, relaxed)
# energy: -60.95 eV/cell
# magnetization: 0.00 Bohr magnetons per cell
data_YTmNi2B2N2
_space_group_name_H-M_alt 'P 4 m m'
_space_group_IT_number 99
_cell_length_a 3.4713
_cell_length_b 3.4713
_cell_length_c 7.4994
_cell_angle_alpha 90.00
_cell_angle_beta 90.00
_cell_angle_gamma 90.00
loop_
_space_group_symop_operation_xyz
'x,y,z'
'-y,x,z'
'-x,-y,z'
'y,-x,z'
'-x,y,z'
'y,x,z'
'x,-y,z'
'-y,-x,z'
loop_
_atom_site_label
_atom_site_type_symbol
_atom_site_fract_x
_atom_site_fract_y
_atom_site_fract_z
Y1 Y 0.0000 0.0000 0.0000
Tm1 Tm 0.5000 0.5000 0.6658
Ni1 Ni 0.0000 0.5000 0.3334
B1 B 0.0000 0.0000 0.4938
B2 B 0.5000 0.5000 0.1697
N1 N 0.0000 0.0000 0.6886
N2 N 0.5000 0.5000 0.9741



Record 8
# Y3Ni4B4N3 (GGA-PBE, relaxed)
# energy: -213.57 eV/cell
# magnetization: 0.01 Bohr magnetons per cell
data_Y3Ni4B4N3
_space_group_name_H-M_alt 'I 4/m m m'
_space_group_IT_number 139
_space_group_name_Hall '-I 4 2'
_cell_length_a 3.4985
_cell_length_b 3.4985
_cell_length_c 25.4282
_cell_angle_alpha 90.00
_cell_angle_beta 90.00
_cell_angle_gamma 90.00
loop_
_atom_site_label
_atom_site_type_symbol
_atom_site_fract_x
_atom_site_fract_y
_atom_site_fract_z
Y1 Y 0.0000 0.0000 0.0000
Y2 Y 0.0000 0.0000 0.2997
Ni1 Ni 0.0000 0.5000 0.1020
B1 B 0.0000 0.0000 0.1497
B2 B 0.0000 0.0000 0.4432
N1 N 0.0000 0.0000 0.2071
N2 N 0.0000 0.0000 0.5000



Record 9
# BOsNO (GGA-PBE, relaxed)
# distance to the lowest polymorph of the same formula: 1215.1 meV/atom
# magnetization: 0.01 Bohr magnetons per cell
data_BOsNO
_space_group_name_H-M_alt 'P 4/n m m'
_space_group_IT_number 129
_cell_length_a 3.1528
_cell_length_b 3.1528
_cell_length_c 7.6820
_cell_angle_alpha 90.00
_cell_angle_beta 90.00
_cell_angle_gamma 90.00
loop_
_space_group_symop_operation_xyz
'x,y,z'
'-x,-y,-z'
'-y+1/2,x,z'
'y+1/2,-x,-z'
'-x+1/2,-y+1/2,z'
'x+1/2,y+1/2,-z'
'y,-x+1/2,z'
'-y,x+1/2,-z'
'x+1/2,-y,-z'
'-x+1/2,y,z'
'-y,-x,-z'
'y,x,z'
'-x,y+1/2,-z'
'x,-y+1/2,z'
'y+1/2,x+1/2,-z'
'-y+1/2,-x+1/2,z'
loop_
_atom_site_label
_atom_site_type_symbol
_atom_site_fract_x
_atom_site_fract_y
_atom_site_fract_z
B1 B 0.2500 0.7500 0.0000
Os1 Os 0.2500 0.2500 0.3222
N1 N 0.2500 0.2500 0.0539
O1 O 0.2500 0.7500 0.5000



Record 10
# BOsNO (GGA-PBE, relaxed)
# distance to the lowest polymorph of the same formula: 227.0 meV/atom
# magnetization: 0.01 Bohr magnetons per cell
data_BOsNO
_space_group_name_H-M_alt 'P c a 21'
_space_group_IT_number 29
_cell_length_a 4.9004
_cell_length_b 6.0509
_cell_length_c 4.5749
_cell_angle_alpha 90.00
_cell_angle_beta 90.00
_cell_angle_gamma 90.00
loop_
_space_group_symop_operation_xyz
'x,y,z'
'-x,-y,z+1/2'
'-x+1/2,y,z+1/2'
'x+1/2,-y,z'
loop_
_atom_site_label
_atom_site_type_symbol
_atom_site_fract_x
_atom_site_fract_y
_atom_site_fract_z
B1 B 0.1451 0.0437 0.0000
Os1 Os 0.1123 0.5941 0.1572
N1 N 0.1202 0.9365 0.3131
O1 O 0.2421 0.2768 0.0886



Record 11
# BOsNO (GGA-PBE, relaxed)
# distance to the lowest polymorph of the same formula: 1217.2 meV/atom
# magnetization: 0.00 Bohr magnetons per cell
data_BOsNO
_space_group_name_H-M_alt 'P 4/n m m'
_space_group_IT_number 129
_cell_length_a 3.1801
_cell_length_b 3.1801
_cell_length_c 7.5461
_cell_angle_alpha 90.00
_cell_angle_beta 90.00
_cell_angle_gamma 90.00
loop_
_space_group_symop_operation_xyz
'x,y,z'
'-x,-y,-z'
'-y+1/2,x,z'
'y+1/2,-x,-z'
'-x+1/2,-y+1/2,z'
'x+1/2,y+1/2,-z'
'y,-x+1/2,z'
'-y,x+1/2,-z'
'x+1/2,-y,-z'
'-x+1/2,y,z'
'-y,-x,-z'
'y,x,z'
'-x,y+1/2,-z'
'x,-y+1/2,z'
'y+1/2,x+1/2,-z'
'-y+1/2,-x+1/2,z'
loop_
_atom_site_label
_atom_site_type_symbol
_atom_site_fract_x
_atom_site_fract_y
_atom_site_fract_z
B1 B 0.2500 0.7500 0.0000
Os1 Os 0.2500 0.2500 0.3199
N1 N 0.2500 0.2500 0.0490
O1 O 0.2500 0.7500 0.5000



Record 12
# BOsNO (GGA-PBE, relaxed)
# distance to the lowest polymorph of the same formula: 791.5 meV/atom
# magnetization: 0.00 Bohr magnetons per cell
data_BOsNO
_space_group_name_H-M_alt 'P 4/n m m'
_space_group_IT_number 129
_cell_length_a 3.4993
_cell_length_b 3.4993
_cell_length_c 6.3986
_cell_angle_alpha 90.00
_cell_angle_beta 90.00
_cell_angle_gamma 90.00
loop_
_space_group_symop_operation_xyz
'x,y,z'
'-x,-y,-z'
'-y+1/2,x,z'
'y+1/2,-x,-z'
'-x+1/2,-y+1/2,z'
'x+1/2,y+1/2,-z'
'y,-x+1/2,z'
'-y,x+1/2,-z'
'x+1/2,-y,-z'
'-x+1/2,y,z'
'-y,-x,-z'
'y,x,z'
'-x,y+1/2,-z'
'x,-y+1/2,z'
'y+1/2,x+1/2,-z'
'-y+1/2,-x+1/2,z'
loop_
_atom_site_label
_atom_site_type_symbol
_atom_site_fract_x
_atom_site_fract_y
_atom_site_fract_z
B1 B 0.2500 0.2500 0.0850
Os1 Os 0.2500 0.7500 0.5000
N1 N 0.2500 0.2500 0.3188
O1 O 0.2500 0.7500 0.0000



What is the magnetization in the sixth record? 0.00 Bohr magnetons per cell



Number 6 is which compound? Tm2Ni2B3N